[1]
# LaInAg2

LaInAg2 after structural relaxation (PBE-GGA, the Open Quantum Materials Database).

Unit cell a=5.1869 b=5.1869 c=8.3154 alpha=90.00 beta=90.00 gamma=120.00
Last column: nearest neighbours and their distance in Å.
Atoms (fractional coordinates):
Ag  0.6667  0.3333  0.0920  1 Ag 2.63, 1 In 2.84
Ag  0.3333  0.6667  0.5920  1 Ag 2.63, 1 In 2.84
Ag  0.6667  0.3333  0.4080  1 Ag 2.63, 1 In 2.84
Ag  0.3333  0.6667  0.9080  1 Ag 2.63, 1 In 2.84
In  0.3333  0.6667  0.2500  2 Ag 2.84
In  0.6667  0.3333  0.7500  2 Ag 2.84
La  0.0000  0.0000  0.0000  6 Ag 3.09
La  0.0000  0.0000  0.5000  6 Ag 3.09

Output
M_tot, μB/cell: 0.012
Calculated volume, Å³/atom: 24.2
Space group: No. 194
Total DFT energy (no corrections), eV/atom: -3.581

[2]
# LiAlReNi

LiAlReNi after structural relaxation (PBE-GGA, the Open Quantum Materials Database).

Unit cell a=4.1508 b=4.1508 c=4.1508 alpha=60.00 beta=60.00 gamma=60.00
Last column: nearest neighbours and their distance in Å.
Atoms (fractional coordinates):
Li  0.2500  0.2500  0.2500  4 Re 2.54, 4 Al 2.54
Ni  0.7500  0.7500  0.7500  4 Al 2.54, 4 Re 2.54
Al  0.0000  0.0000  0.0000  4 Ni 2.54, 4 Li 2.54
Re  0.5000  0.5000  0.5000  4 Ni 2.54, 4 Li 2.54

Output
M_tot, μB/cell: 2.440
Calculated volume, Å³/atom: 12.6
Space group: No. 216
Total DFT energy (no corrections), eV/atom: -5.790

[3]
# DyNiGe2

DyNiGe2 after structural relaxation (PBE-GGA, the Open Quantum Materials Database).

Unit cell a=4.1667 b=4.0809 c=8.6347 alpha=76.33 beta=90.00 gamma=90.00
Last column: nearest neighbours and their distance in Å.
Atoms (fractional coordinates):
Ge  0.2500  0.5407  0.9186  1 Ni 2.30, 2 Ge 2.49
Ge  0.7500  0.7488  0.5023  4 Ni 2.38-2.40
Ni  0.2500  0.6779  0.6442  5 Ge 2.30-2.40
Ge  0.7500  0.4593  0.0814  1 Ni 2.30, 2 Ge 2.49
Dy  0.7500  0.1080  0.7840  10 Ge 3.12-3.22, 4 Ni 3.14
Dy  0.2500  0.8920  0.2160  10 Ge 3.12-3.22, 4 Ni 3.14
Ge  0.2500  0.2512  0.4977  4 Ni 2.38-2.40
Ni  0.7500  0.3221  0.3558  5 Ge 2.30-2.40

Output
M_tot, μB/cell: 0.000
Calculated volume, Å³/atom: 17.8
Space group: No. 63
Total DFT energy (no corrections), eV/atom: -5.556

[4]
# Dy2InPt4Pb

Dy2InPt4Pb after structural relaxation (PBE-GGA, the Open Quantum Materials Database).

Unit cell a=4.6189 b=4.6189 c=9.0522 alpha=90.00 beta=90.00 gamma=120.00
Last column: nearest neighbours and their distance in Å.
Atoms (fractional coordinates):
Pt  0.6667  0.3333  0.4122  3 In 2.78, 4 Pt 2.83-3.10, 4 Dy 3.03
Pt  0.3333  0.6667  0.5878  3 In 2.78, 4 Pt 2.83-3.10, 4 Dy 3.03
Dy  0.3333  0.6667  0.2529  8 Pt 3.01-3.19
Dy  0.6667  0.3333  0.7471  8 Pt 3.01-3.19
Pb  0.0000  0.0000  0.0000  6 Pt 2.81
Pt  0.6667  0.3333  0.0994  3 Pb 2.81, 1 Pt 2.83, 3 Dy 3.01
Pt  0.3333  0.6667  0.9006  3 Pb 2.81, 1 Pt 2.83, 3 Dy 3.01
In  0.0000  0.0000  0.5000  6 Pt 2.78

Output
M_tot, μB/cell: 0.005
Calculated volume, Å³/atom: 20.9
Space group: No. 164
Total DFT energy (no corrections), eV/atom: -5.852

[5]
# PaInTc

PaInTc after structural relaxation (PBE-GGA, the Open Quantum Materials Database).

Unit cell a=4.7091 b=4.7091 c=4.7091 alpha=60.00 beta=60.00 gamma=60.00
Last column: nearest neighbours and their distance in Å.
Atoms (fractional coordinates):
Tc  0.7500  0.7500  0.7500  4 In 2.88
Pa  0.2500  0.2500  0.2500  4 In 2.88
In  0.0000  0.0000  0.0000  4 Tc 2.88, 4 Pa 2.88

Output
M_tot, μB/cell: 0.090
Relative energy among the computed polymorphs, meV/atom: 0
Calculated volume, Å³/atom: 24.6
Space group: No. 216

[6]
# Zr3Fe4Bi2Sb2

Zr3Fe4Bi2Sb2 after structural relaxation (PBE-GGA, the Open Quantum Materials Database).

Unit cell a=7.6472 b=7.6472 c=7.6472 alpha=132.16 beta=132.16 gamma=69.98
Last column: nearest neighbours and their distance in Å.
Atoms (fractional coordinates):
Fe  0.1314  0.1314  0.5144  2 Sb 2.66-2.72, 3 Zr 2.69-2.75, 2 Bi 2.70
Fe  0.6170  0.6170  0.4856  2 Sb 2.66-2.72, 3 Zr 2.69-2.75, 2 Bi 2.70
Fe  0.8686  0.3830  0.0000  2 Sb 2.66-2.72, 3 Zr 2.69-2.75, 2 Bi 2.70
Zr  0.2500  0.7500  0.5000  4 Fe 2.69
Bi  0.0000  0.5000  0.5000  4 Fe 2.70
Fe  0.3830  0.8686  0.0000  2 Sb 2.66-2.72, 3 Zr 2.69-2.75, 2 Bi 2.70
Zr  0.0000  0.0000  0.0000  4 Fe 2.75
Sb  0.2475  0.2475  0.0000  4 Fe 2.66-2.72
Zr  0.7500  0.2500  0.5000  4 Fe 2.69
Bi  0.5000  0.0000  0.5000  4 Fe 2.70
Sb  0.7525  0.7525  0.0000  4 Fe 2.66-2.72

Output
M_tot, μB/cell: 7.644
Calculated volume, Å³/atom: 21.9
Space group: No. 121
Total DFT energy (no corrections), eV/atom: -6.908

[7]
# Hf2FePt

Hf2FePt after structural relaxation (PBE-GGA, the Open Quantum Materials Database).

Unit cell a=4.5246 b=4.5246 c=4.5246 alpha=60.00 beta=60.00 gamma=60.00
Last column: nearest neighbours and their distance in Å.
Atoms (fractional coordinates):
Pt  0.5000  0.5000  0.5000  4 Hf 2.77, 4 Fe 2.77
Hf  0.7500  0.7500  0.7500  4 Pt 2.77, 4 Hf 2.77
Hf  0.0000  0.0000  0.0000  4 Hf 2.77, 4 Fe 2.77
Fe  0.2500  0.2500  0.2500  4 Pt 2.77, 4 Hf 2.77

Output
M_tot, μB/cell: 1.829
ΔH_f (0 K), eV per atom: -0.318
Calculated volume, Å³/atom: 16.4
Space group: No. 216

[8]
# RbCdB3O6

RbCdB3O6 after structural relaxation (PBE-GGA, the Open Quantum Materials Database).

Unit cell a=7.5928 b=7.5928 c=12.5257 alpha=97.95 beta=97.95 gamma=122.28
Last column: nearest neighbours and their distance in Å.
Atoms (fractional coordinates):
O  0.9028  0.7813  0.9403  1 B 1.34
O  0.7523  0.4077  0.9097  2 B 1.40-1.41
B  0.1909  0.5752  0.3728  3 O 1.32-1.41
Rb  0.3260  0.8141  0.6306  6 O 2.79-3.10
O  0.4799  0.4699  0.1219  2 B 1.40-1.41
O  0.9716  0.4057  0.6235  1 B 1.32
B  0.6837  0.6612  0.6595  3 O 1.34-1.41
O  0.2757  0.1415  0.3128  1 B 1.34
O  0.8498  0.6290  0.6670  2 B 1.40-1.41
O  0.6290  0.8498  0.1670  2 B 1.40-1.41
O  0.1415  0.2757  0.8128  1 B 1.34
O  0.5943  0.0284  0.8765  1 B 1.32
O  0.4077  0.7523  0.4097  2 B 1.40-1.41
B  0.6612  0.6837  0.1595  3 O 1.34-1.41
O  0.5201  0.5301  0.8781  2 B 1.40-1.41
O  0.5923  0.2477  0.5903  2 B 1.40-1.41
O  0.7813  0.9028  0.4403  1 B 1.34
Cd  0.1195  0.9704  0.1217  5 O 2.17-2.35
O  0.0972  0.2187  0.0597  1 B 1.34
Rb  0.6740  0.1859  0.3694  6 O 2.79-3.10
Rb  0.1859  0.6740  0.8694  6 O 2.79-3.10
B  0.5752  0.1909  0.8728  3 O 1.32-1.41
Cd  0.8805  0.0296  0.8783  5 O 2.17-2.35
O  0.7243  0.8585  0.6872  1 B 1.34
O  0.2477  0.5923  0.0903  2 B 1.40-1.41
B  0.5785  0.7278  0.4108  3 O 1.34-1.40
B  0.2722  0.4215  0.0892  3 O 1.34-1.40
Rb  0.8141  0.3260  0.1306  6 O 2.79-3.10
O  0.1502  0.3710  0.3330  2 B 1.40-1.41
B  0.3163  0.3388  0.3405  3 O 1.34-1.41
B  0.3388  0.3163  0.8405  3 O 1.34-1.41
O  0.4057  0.9716  0.1235  1 B 1.32
O  0.4699  0.4799  0.6219  2 B 1.40-1.41
B  0.7278  0.5785  0.9108  3 O 1.34-1.40
O  0.8585  0.7243  0.1872  1 B 1.34
Cd  0.9704  0.1195  0.6217  5 O 2.17-2.35
O  0.0284  0.5943  0.3765  1 B 1.32
O  0.5301  0.5201  0.3781  2 B 1.40-1.41
B  0.4248  0.8091  0.1272  3 O 1.32-1.41
Cd  0.0296  0.8805  0.3783  5 O 2.17-2.35
O  0.2187  0.0972  0.5597  1 B 1.34
B  0.8091  0.4248  0.6272  3 O 1.32-1.41
O  0.3710  0.1502  0.8330  2 B 1.40-1.41
B  0.4215  0.2722  0.5892  3 O 1.34-1.40

Output
Calculated volume, Å³/atom: 13.3
Space group: No. 15
Total DFT energy (no corrections), eV/atom: -6.860

[9]
# Zr2AlOs

Zr2AlOs after structural relaxation (PBE-GGA, the Open Quantum Materials Database).

Unit cell a=4.6585 b=4.6585 c=4.6585 alpha=60.00 beta=60.00 gamma=60.00
Last column: nearest neighbours and their distance in Å.
Atoms (fractional coordinates):
Zr  0.7500  0.7500  0.7500  4 Al 2.85, 4 Zr 2.85
Zr  0.0000  0.0000  0.0000  4 Os 2.85, 4 Zr 2.85
Al  0.5000  0.5000  0.5000  4 Zr 2.85, 4 Os 2.85
Os  0.2500  0.2500  0.2500  4 Zr 2.85, 4 Al 2.85

Output
M_tot, μB/cell: 0.864
Calculated volume, Å³/atom: 17.9
Space group: No. 216
Total DFT energy (no corrections), eV/atom: -8.262

[10]
# Sn2Hg2As3P

Sn2Hg2As3P after structural relaxation (PBE-GGA, the Open Quantum Materials Database).

Unit cell a=7.4501 b=7.4501 c=6.1714 alpha=114.20 beta=114.20 gamma=49.07
Last column: nearest neighbours and their distance in Å.
Atoms (fractional coordinates):
As  0.6272  0.8728  0.2492  2 Sn 2.66, 2 Hg 2.69
Sn  0.5071  0.2454  0.1214  1 P 2.58, 3 As 2.66-2.67
Sn  0.7546  0.4929  0.8786  1 P 2.58, 3 As 2.66-2.67
Hg  0.2386  0.0034  0.3625  1 P 2.60, 3 As 2.69-2.70
As  0.3808  0.6192  0.5000  2 Sn 2.67, 2 Hg 2.70
Hg  0.9966  0.7614  0.6375  1 P 2.60, 3 As 2.69-2.70
P  0.8679  0.1321  0.0000  2 Sn 2.58, 2 Hg 2.60
As  0.1272  0.3728  0.7508  2 Sn 2.66, 2 Hg 2.69

Output
Calculated volume, Å³/atom: 28.9
Space group: No. 5
Total DFT energy (no corrections), eV/atom: -3.497

[11]
# ZrFe2

ZrFe2 after structural relaxation (PBE-GGA, the Open Quantum Materials Database).

Unit cell a=4.9653 b=4.9653 c=16.1728 alpha=90.00 beta=90.00 gamma=120.00
Last column: nearest neighbours and their distance in Å.
Atoms (fractional coordinates):
Zr  0.6667  0.3333  0.1565  12 Fe 2.91, 4 Zr 3.02-3.04
Fe  0.0000  0.5000  0.5000  6 Fe 2.47-2.48
Fe  0.1656  0.8344  0.2500  6 Fe 2.47-2.50
Fe  0.1656  0.3311  0.2500  6 Fe 2.47-2.50
Zr  0.6667  0.3333  0.3435  12 Fe 2.91, 4 Zr 3.02-3.04
Fe  0.6667  0.3333  0.6247  6 Fe 2.47-2.49
Fe  0.8344  0.1656  0.7500  6 Fe 2.47-2.50
Fe  0.8344  0.6689  0.7500  6 Fe 2.47-2.50
Zr  0.3333  0.6667  0.8435  12 Fe 2.91, 4 Zr 3.02-3.04
Zr  0.3333  0.6667  0.6565  12 Fe 2.91, 4 Zr 3.02-3.04
Fe  0.6689  0.8344  0.2500  6 Fe 2.47-2.50
Zr  0.0000  0.0000  0.5942  12 Fe 2.89-2.91, 4 Zr 3.04-3.05
Zr  0.0000  0.0000  0.0942  12 Fe 2.89-2.91, 4 Zr 3.04-3.05
Zr  0.0000  0.0000  0.4058  12 Fe 2.89-2.91, 4 Zr 3.04-3.05
Fe  0.6667  0.3333  0.8753  6 Fe 2.47-2.49
Fe  0.5000  0.0000  0.0000  6 Fe 2.47-2.48
Fe  0.3333  0.6667  0.3753  6 Fe 2.47-2.49
Fe  0.5000  0.0000  0.5000  6 Fe 2.47-2.48
Fe  0.0000  0.5000  0.0000  6 Fe 2.47-2.48
Fe  0.3333  0.6667  0.1247  6 Fe 2.47-2.49
Fe  0.5000  0.5000  0.5000  6 Fe 2.47-2.48
Fe  0.3311  0.1656  0.7500  6 Fe 2.47-2.50
Fe  0.5000  0.5000  0.0000  6 Fe 2.47-2.48
Zr  0.0000  0.0000  0.9058  12 Fe 2.89-2.91, 4 Zr 3.04-3.05

Output
M_tot, μB/cell: 24.660
ΔH_f (0 K), eV per atom: -0.272
Calculated volume, Å³/atom: 14.4
Space group: No. 194

[12]
# SrInTc

SrInTc after structural relaxation (PBE-GGA, the Open Quantum Materials Database).

Unit cell a=5.1457 b=5.1457 c=5.1457 alpha=60.00 beta=60.00 gamma=60.00
Last column: nearest neighbours and their distance in Å.
Atoms (fractional coordinates):
Tc  0.7500  0.7500  0.7500  4 Sr 3.15
In  0.2500  0.2500  0.2500  4 Sr 3.15
Sr  0.0000  0.0000  0.0000  4 Tc 3.15, 4 In 3.15

Output
M_tot, μB/cell: 2.797
Relative energy among the computed polymorphs, meV/atom: 853
Calculated volume, Å³/atom: 32.1
Space group: No. 216

> Which formula does entry 1 have?

LaInAg2

What did the seventh record say?
# Hf2FePt

Hf2FePt after structural relaxation (PBE-GGA, the Open Quantum Materials Database).

Unit cell a=4.5246 b=4.5246 c=4.5246 alpha=60.00 beta=60.00 gamma=60.00
Last column: nearest neighbours and their distance in Å.
Atoms (fractional coordinates):
Pt  0.5000  0.5000  0.5000  4 Hf 2.77, 4 Fe 2.77
Hf  0.7500  0.7500  0.7500  4 Pt 2.77, 4 Hf 2.77
Hf  0.0000  0.0000  0.0000  4 Hf 2.77, 4 Fe 2.77
Fe  0.2500  0.2500  0.2500  4 Pt 2.77, 4 Hf 2.77

Output
M_tot, μB/cell: 1.829
ΔH_f (0 K), eV per atom: -0.318
Calculated volume, Å³/atom: 16.4
Space group: No. 216

> The highest calculated volume belongs to which entry?

SrInTc